(1)
Entry from the Alexandria database: a geometry-optimized In2Cl3 structure (PBE).

Unit cell a=8.900 b=7.685 c=7.584 alpha=70.13 beta=54.07 gamma=54.61
Atoms (fractional coordinates):
Cl: 0.851 0.000 0.000
Cl: 0.101 0.500 0.500
Cl: 0.945 0.203 0.399
Cl: 0.398 0.297 0.899
Cl: 0.594 0.703 0.101
Cl: 0.547 0.797 0.601
In: 0.708 0.418 0.823
In: 0.376 0.082 0.323
In: 0.949 0.582 0.177
In: 0.781 0.918 0.677

Computed properties:
For the uncorrected formation energy, the calculation gives -784 meV per atom. The volume comes out at 342.39 Å³ per cell. As for the space group: Fdd2, No. 43.



(2)
Entry from the Alexandria database: a geometry-optimized LiTbNdIn structure (PBE).

Unit cell a=5.370 b=5.370 c=5.370 alpha=60.00 beta=60.00 gamma=60.00
Atoms (fractional coordinates):
In: 0.500 0.500 0.500
Li: 0.000 0.000 0.000
Tb: 0.750 0.750 0.750
Nd: 0.250 0.250 0.250

Computed properties:
The calculated formation energy is -6.08 kcal/mol of atoms. The volume comes out at 109.49 Å³ per cell. As for the space group: F-43m, No. 216.



(3)
Entry from the Alexandria database: a geometry-optimized Ba2CdPdO4 structure (PBE).

Unit cell a=5.694 b=5.694 c=5.694 alpha=105.31 beta=111.59 gamma=111.59
Atoms (fractional coordinates):
Ba: 0.500 0.750 0.250
Ba: 0.000 0.000 0.000
O: 0.392 0.932 0.874
O: 0.058 0.126 0.518
O: 0.942 0.460 0.068
O: 0.608 0.482 0.540
Cd: 0.000 0.500 0.500
Pd: 0.500 0.250 0.750

Computed properties:
For the uncorrected formation energy, the calculation gives -1558 meV per atom. The volume comes out at 141.59 Å³ per cell. As for the space group: I-4, No. 82.



(4)
Entry from the Alexandria database: a geometry-optimized LiNd3Al structure (PBE).

Unit cell a=5.289 b=5.281 c=10.476 alpha=90.00 beta=75.38 gamma=90.00
Atoms (fractional coordinates):
Li: 0.166 0.250 0.317
Li: 0.482 0.750 0.683
Nd: 0.890 0.750 0.869
Nd: 0.390 0.250 0.869
Nd: 0.759 0.250 0.131
Nd: 0.074 0.750 0.501
Nd: 0.575 0.250 0.499
Nd: 0.259 0.750 0.131
Al: 0.666 0.750 0.317
Al: 0.983 0.250 0.683

Computed properties:
The calculated formation energy is -2.92 kcal/mol of atoms. The volume comes out at 283.11 Å³ per cell. The calculation puts the energy above the most stable polymorph in this dataset at 0.0 kJ per mole of atoms. As for the space group: Cmcm, No. 63.



(5)
Entry from the Alexandria database: a geometry-optimized Tb4AlCu2 structure (PBE).

Unit cell a=4.957 b=4.957 c=8.442 alpha=72.93 beta=72.93 gamma=60.00
Atoms (fractional coordinates):
Tb: 0.870 0.870 0.389
Tb: 0.617 0.617 0.149
Tb: 0.130 0.130 0.611
Tb: 0.383 0.383 0.851
Cu: 0.257 0.257 0.228
Cu: 0.743 0.743 0.772
Al: 0.000 0.000 0.000

Computed properties:
The calculated formation energy is -3.55 kcal/mol of atoms. The volume comes out at 168.99 Å³ per cell. The calculation puts the energy above the most stable polymorph in this dataset at 0.0 kJ per mole of atoms. As for the space group: R-3m, No. 166.



(6)
Entry from the Alexandria database: a geometry-optimized Pm6Er8Al structure (PBE).

Unit cell a=6.204 b=9.444 c=9.444 alpha=120.00 beta=90.00 gamma=90.00
Atoms (fractional coordinates):
Pm: 0.306 0.546 0.636
Pm: 0.694 0.910 0.546
Pm: 0.694 0.454 0.364
Pm: 0.306 0.090 0.454
Pm: 0.694 0.636 0.090
Pm: 0.306 0.364 0.910
Er: 0.201 0.783 0.040
Er: 0.810 0.333 0.667
Er: 0.799 0.217 0.960
Er: 0.201 0.960 0.743
Er: 0.190 0.667 0.333
Er: 0.799 0.743 0.783
Er: 0.799 0.040 0.257
Er: 0.201 0.257 0.217
Al: 0.500 0.000 0.000

Computed properties:
The calculated formation energy is 1.83 kcal/mol of atoms. The volume comes out at 479.16 Å³ per cell. As for the space group: P-3, No. 147.



(7)
Entry from the Alexandria database: a geometry-optimized Ag3P structure (PBE).

Unit cell a=5.863 b=5.863 c=4.651 alpha=90.00 beta=90.00 gamma=120.00
Atoms (fractional coordinates):
Ag: 0.337 0.168 0.250
Ag: 0.168 0.832 0.750
Ag: 0.832 0.663 0.250
Ag: 0.168 0.337 0.750
Ag: 0.832 0.168 0.250
Ag: 0.663 0.832 0.750
P: 0.333 0.667 0.250
P: 0.667 0.333 0.750

Computed properties:
The calculated formation energy is 5.01 kcal/mol of atoms. The volume comes out at 138.48 Å³ per cell. As for the space group: P6_3/mmc, No. 194.



(8)
Entry from the Alexandria database: a geometry-optimized HPt2Au structure (PBE).

Unit cell a=2.842 b=2.842 c=7.607 alpha=79.24 beta=79.24 gamma=60.00
Atoms (fractional coordinates):
H: 0.000 0.000 0.000
Au: 0.500 0.500 0.500
Pt: 0.275 0.275 0.174
Pt: 0.725 0.725 0.826

Computed properties:
The volume comes out at 51.95 Å³ per cell. The calculation puts the energy above the most stable polymorph in this dataset at 1.9 kJ per mole of atoms. As for the space group: R-3m, No. 166.



| no. | magnetization (μB/atom) |
| --- | --- |
| 1 | 0.00 |
| 2 | 0.00 |
| 3 | 0.00 |
| 4 | 0.00 |
| 5 | 0.00 |
| 6 | 0.00 |
| 7 | 0.00 |
| 8 | 0.00 |